Record 1
! Cd2GaPd2 GGA-PBEsol optimized geometry; values from VASP
! Magnetic moment, μB per formula unit: 0.00
! Space group: P4/mbm (127)
! Formation enthalpy at 0 K, eV per atom: -0.400
&SYSTEM
  ibrav = 0, nat = 10, ntyp = 3
/
ATOMIC_SPECIES
Cd 112.41 Cd.upf
Ga 69.72 Ga.upf
Pd 106.42 Pd.upf
ATOMIC_POSITIONS crystal
Cd 0.157 0.343 0.000
Cd 0.343 0.843 0.000
Cd 0.657 0.157 0.000
Cd 0.843 0.657 0.000
Ga 0.000 0.000 0.500
Ga 0.500 0.500 0.500
Pd 0.151 0.651 0.500
Pd 0.349 0.151 0.500
Pd 0.651 0.849 0.500
Pd 0.849 0.349 0.500
CELL_PARAMETERS angstrom
6.473 0.000 0.000
0.000 6.473 0.000
0.000 0.000 4.148

=====

Record 2
! RbTi2CdGa GGA-PBEsol optimized geometry; values from VASP
! Magnetic moment, μB per formula unit: 4.69
! Space group: P4/mmm (123)
! Formation enthalpy at 0 K, eV per atom: 0.811
&SYSTEM
  ibrav = 0, nat = 5, ntyp = 4
/
ATOMIC_SPECIES
Rb 85.47 Rb.upf
Ti 47.87 Ti.upf
Cd 112.41 Cd.upf
Ga 69.72 Ga.upf
ATOMIC_POSITIONS crystal
Rb 0.000 0.000 0.000
Ti 0.000 0.500 0.500
Ti 0.500 0.000 0.500
Cd 0.500 0.500 0.000
Ga 0.500 0.500 0.500
CELL_PARAMETERS angstrom
5.086 0.000 0.000
0.000 5.086 0.000
0.000 0.000 5.188